No. 1
{"formula": "AgTeAs2Se", "functional": "PBEsol", "state": "relaxed", "magmom_total_mub_per_cell": 0.002, "vol_a3_per_atom": 24.07, "dos_ef_per_ev_cell": 5.4, "dft_energy_ev_per_cell": -17.2, "spacegroup": "No. 123", "e_form_raw_kj_per_mol_atoms": 71.9, "lattice": [[4.9270, 0.0000, 0.0000], [0.0000, 4.9424, 0.0000], [0.0000, 0.0000, 4.9424]], "species": ["As", "As", "Te", "Se", "Ag"], "frac_coords": [[0.0000, 0.0000, 0.5000], [0.0000, 0.5000, 0.0000], [0.5000, 0.5000, 0.5000], [0.5000, 0.0000, 0.0000], [0.0000, 0.0000, 0.0000]]}

---

No. 2
{"formula": "CuHCl2", "functional": "PBEsol", "state": "relaxed", "magmom_total_mub_per_cell": 0.000, "vol_a3_per_atom": 15.61, "dft_energy_ev_per_cell": -11.0, "spacegroup": "No. 166", "lattice": [[3.3082, 0.0000, 0.0000], [1.6541, 2.8650, 0.0000], [1.6541, 0.9550, 6.5891]], "species": ["H", "Cu", "Cl", "Cl"], "frac_coords": [[0.5000, 0.5000, 0.5000], [0.0000, 0.0000, 0.0000], [0.8948, 0.8948, 0.3156], [0.1052, 0.1052, 0.6844]]}